[1]
A plane-wave DFT calculation with GGA-PBE was carried out for crystalline Na2AuF at its relaxed geometry.

Geometry as POSCAR:
```
Na2AuF
1.0
2.933 0.000 0.000
0.000 2.933 0.000
0.000 0.000 7.465
Na Au F
2 1 1
direct
0.000 0.000 0.188
0.000 0.000 0.812
0.500 0.500 0.500
0.500 0.500 0.000
```

Summary:
ΔE_f (raw): -1.3900 eV/atom
V: 64.2 Å³/cell
D(E_F): 0.3 states/eV/cell

[2]
A plane-wave DFT calculation with GGA-PBE was carried out for crystalline ZrTl2Tc at its relaxed geometry.

Geometry as POSCAR:
```
ZrTl2Tc
1.0
11.157 0.000 0.000
0.000 3.485 0.000
-2.169 0.000 4.431
Zr Tl Tc
2 4 2
direct
0.000 0.000 0.000
0.500 0.500 0.000
0.054 0.500 0.554
0.279 0.500 0.278
0.554 0.000 0.554
0.779 0.000 0.278
0.301 0.000 0.800
0.801 0.500 0.800
```

Summary:
formation energy: 0.28 eV per atom
V: 172.3 Å³/cell
D(E_F): 5.9 states/eV/cell

| no. | E above lowest polymorph (meV/atom) |
| --- | --- |
| 1 | 0 |
| 2 | 47 |